Record 1
Computed, not measured: an optimized crystal structure of Pr2GeAsPd2 at the GGA-PBE level of DFT.

The structure in POSCAR format:
```
Pr2GeAsPd2
1.0
4.371 0.000 0.000
-2.185 3.785 0.000
0.000 0.000 8.173
Pr As Pd Ge
2 1 2 1
Cartesian
0.000 0.000 2.025
0.000 0.000 6.148
2.185 1.262 0.000
2.185 1.262 4.086
0.000 2.524 0.000
0.000 2.524 4.086
```

Computed properties:
Symmetry: P-6m2, No. 187
V, Å³/atom: 22.536
DFT total energy, eV per atom: -5.907

***

Record 2
Computed, not measured: an optimized crystal structure of Cu4Ag at the GGA-PBE level of DFT.

The structure in POSCAR format:
```
Cu4Ag
1.0
4.185 -1.861 0.000
4.185 1.861 0.000
-0.034 0.000 8.357
Ag Cu
2 8
Cartesian
5.003 0.000 5.869
3.332 0.000 2.487
0.833 0.000 1.601
-0.017 0.000 4.178
6.650 0.000 0.774
7.503 0.000 6.756
1.686 0.000 7.583
2.496 0.000 5.022
5.840 0.000 3.334
4.185 0.000 0.000
```

Computed properties:
Symmetry: C2/m, No. 12
V, Å³/atom: 13.014
Formation enthalpy at 0 K, eV/atom: 0.071
E above lowest polymorph, eV per atom: 0.027

***

Record 3
Computed, not measured: an optimized crystal structure of HoTmCu2B2C2 at the GGA-PBE level of DFT.

The structure in POSCAR format:
```
HoTmCu2B2C2
1.0
-3.464 0.579 0.518
0.076 -2.103 2.859
1.711 6.194 4.512
C Tm Cu B Ho
2 1 2 2 1
Cartesian
0.614 2.222 1.618
-0.594 3.219 4.588
1.129 4.085 2.976
-0.021 6.481 4.769
1.748 5.140 5.939
-0.277 4.367 5.425
0.296 1.071 0.780
-1.113 1.339 3.219
```

Computed properties:
Symmetry: P4mm, No. 99
V, Å³/atom: 12.369
DFT total energy, eV per atom: -6.401

***

Record 4
Computed, not measured: an optimized crystal structure of SmLuU at the GGA-PBE level of DFT.

The structure in POSCAR format:
```
SmLuU
1.0
3.842 -3.485 0.845
1.956 -0.633 4.836
-0.995 -4.410 2.680
Sm Lu U
1 1 1
Cartesian
1.201 -2.132 2.090
0.000 0.000 0.000
3.602 -6.396 6.271
```

Computed properties:
Symmetry: F-43m, No. 216
V, Å³/atom: 34.210
Formation enthalpy at 0 K, eV/atom: 1.259
E above lowest polymorph, eV per atom: 0.000

***

Record 5
Computed, not measured: an optimized crystal structure of Y2HoEr3Te2Au at the GGA-PBE level of DFT.

The structure in POSCAR format:
```
Y2HoEr3Te2Au
1.0
3.969 0.000 0.000
0.000 7.287 4.193
0.000 -7.287 4.193
Er Te Ho Y Au
3 2 1 2 1
Cartesian
1.985 1.819 1.052
1.985 -1.819 1.052
1.985 0.000 6.280
1.985 2.428 4.192
1.985 -2.428 4.192
0.000 0.000 3.380
0.000 -4.347 2.502
0.000 4.347 2.502
0.000 0.000 0.003
```

Computed properties:
Symmetry: Amm2, No. 38
V, Å³/atom: 26.948
DFT total energy, eV per atom: -5.323

***

Record 6
Computed, not measured: an optimized crystal structure of AcDyNp at the GGA-PBE level of DFT.

The structure in POSCAR format:
```
AcDyNp
1.0
-0.970 -0.920 5.286
-2.396 3.840 3.041
-5.116 -0.706 1.751
Dy Ac Np
1 1 1
Cartesian
-2.120 0.554 2.519
0.000 0.000 0.000
-6.361 1.661 7.558
```

Computed properties:
Symmetry: F-43m, No. 216
V, Å³/atom: 38.213
Formation enthalpy at 0 K, eV/atom: 1.264
E above lowest polymorph, eV per atom: 0.121

***

Record 7
Computed, not measured: an optimized crystal structure of Cs2YCdBr6 at the GGA-PBE level of DFT.

The structure in POSCAR format:
```
Cs2YCdBr6
1.0
0.000 5.826 5.826
5.826 0.000 5.826
5.826 5.826 0.000
Cs Br Cd Y
2 6 1 1
Cartesian
8.739 8.739 8.739
2.913 2.913 2.913
5.826 8.848 5.826
5.826 5.826 8.848
5.826 5.826 2.804
5.826 2.804 5.826
2.804 5.826 5.826
8.848 5.826 5.826
5.826 5.826 5.826
0.000 0.000 0.000
```

Computed properties:
Symmetry: Fm-3m, No. 225
V, Å³/atom: 39.548
DFT total energy, eV per atom: -3.454

***

Record 8
Computed, not measured: an optimized crystal structure of ZnFeHgAu at the GGA-PBE level of DFT.

The structure in POSCAR format:
```
ZnFeHgAu
1.0
-0.471 -4.163 1.813
-3.412 -2.710 -1.362
0.891 -3.702 -2.519
Zn Fe Hg Au
1 1 1 1
Cartesian
0.000 0.000 0.000
-2.244 -7.931 -1.551
-1.496 -5.287 -1.034
-0.748 -2.644 -0.517
```

Computed properties:
Symmetry: F-43m, No. 216
V, Å³/atom: 16.822
Formation enthalpy at 0 K, eV/atom: 0.252
E above lowest polymorph, eV per atom: 0.000